# 1
This record from Alexandria via LeMat-Bulk describes a relaxed Ac2NdZn4 crystal. The functional is PBE-GGA.

CIF file:
```
data_Ac2NdZn4
_cell_length_a 5.496
_cell_length_b 5.496
_cell_length_c 7.731
_cell_angle_alpha 110.82
_cell_angle_beta 110.82
_cell_angle_gamma 90.00
_symmetry_space_group_name_H-M 'P 1'
_symmetry_Int_Tables_number 1
loop_
_symmetry_equiv_pos_as_xyz
'x,y,z'
loop_
_atom_site_label
_atom_site_type_symbol
_atom_site_fract_x
_atom_site_fract_y
_atom_site_fract_z
_atom_site_occupancy
Ac1 Ac 0.284 0.284 0.568 1
Ac2 Ac 0.716 0.716 0.432 1
Zn1 Zn 0.100 0.600 0.200 1
Zn2 Zn 0.600 0.100 0.200 1
Zn3 Zn 0.400 0.900 0.800 1
Zn4 Zn 0.900 0.400 0.800 1
Nd1 Nd 0.000 0.000 0.000 1
```

calculated total energy = -2.71 eV per atom
N(E_F) = 5.0 states/eV per cell
energy of formation = -0.123 eV/atom


# 2
This record from Alexandria via LeMat-Bulk describes a relaxed SrPr5Te8 crystal. The functional is PBE-GGA.

CIF file:
```
data_SrPr5Te8
_cell_length_a 8.367
_cell_length_b 8.367
_cell_length_c 8.367
_cell_angle_alpha 109.52
_cell_angle_beta 109.36
_cell_angle_gamma 109.52
_symmetry_space_group_name_H-M 'P 1'
_symmetry_Int_Tables_number 1
loop_
_symmetry_equiv_pos_as_xyz
'x,y,z'
loop_
_atom_site_label
_atom_site_type_symbol
_atom_site_fract_x
_atom_site_fract_y
_atom_site_fract_z
_atom_site_occupancy
Te1 Te 0.970 0.094 0.721 1
Te2 Te 0.121 0.752 0.519 1
Te3 Te 0.279 0.249 0.373 1
Te4 Te 0.631 0.398 0.879 1
Te5 Te 0.481 0.602 0.233 1
Te6 Te 0.125 0.751 0.030 1
Te7 Te 0.767 0.248 0.369 1
Te8 Te 0.627 0.906 0.875 1
Pr1 Pr 0.001 0.371 0.125 1
Pr2 Pr 0.875 0.875 0.246 1
Pr3 Pr 0.371 0.125 0.999 1
Pr4 Pr 0.754 0.629 0.629 1
Pr5 Pr 0.500 0.000 0.500 1
Sr1 Sr 0.250 0.500 0.750 1
```

calculated total energy = -5.11 eV per atom
N(E_F) = 6.4 states/eV per cell
ΔE_f (raw) = -1.4916 eV per atom


# 3
This record from Alexandria via LeMat-Bulk describes a relaxed HoCrS3 crystal. The functional is PBE-GGA.

CIF file:
```
data_HoCrS3
_cell_length_a 5.936
_cell_length_b 7.670
_cell_length_c 8.573
_cell_angle_alpha 97.37
_cell_angle_beta 90.00
_cell_angle_gamma 90.00
_symmetry_space_group_name_H-M 'P 1'
_symmetry_Int_Tables_number 1
loop_
_symmetry_equiv_pos_as_xyz
'x,y,z'
loop_
_atom_site_label
_atom_site_type_symbol
_atom_site_fract_x
_atom_site_fract_y
_atom_site_fract_z
_atom_site_occupancy
S1 S 0.941 0.086 0.674 1
S2 S 0.207 0.592 0.611 1
S3 S 0.085 0.186 0.058 1
S4 S 0.793 0.408 0.389 1
S5 S 0.415 0.186 0.558 1
S6 S 0.915 0.814 0.942 1
S7 S 0.559 0.086 0.174 1
S8 S 0.441 0.914 0.826 1
S9 S 0.059 0.914 0.326 1
S10 S 0.585 0.814 0.442 1
S11 S 0.707 0.408 0.889 1
S12 S 0.293 0.592 0.111 1
Ho1 Ho 0.760 0.647 0.174 1
Ho2 Ho 0.240 0.353 0.826 1
Ho3 Ho 0.740 0.647 0.674 1
Ho4 Ho 0.260 0.353 0.326 1
Cr1 Cr 0.753 0.091 0.924 1
Cr2 Cr 0.747 0.091 0.424 1
Cr3 Cr 0.247 0.909 0.076 1
Cr4 Cr 0.253 0.909 0.576 1
```

calculated total energy = -6.60 eV per atom
ΔE_f (raw) = -1.2813 eV per atom


# 4
This record from Alexandria via LeMat-Bulk describes a relaxed ScZnSi4 crystal. The functional is PBE-GGA.

CIF file:
```
data_ScZnSi4
_cell_length_a 5.077
_cell_length_b 5.077
_cell_length_c 5.077
_cell_angle_alpha 60.00
_cell_angle_beta 60.00
_cell_angle_gamma 60.00
_symmetry_space_group_name_H-M 'P 1'
_symmetry_Int_Tables_number 1
loop_
_symmetry_equiv_pos_as_xyz
'x,y,z'
loop_
_atom_site_label
_atom_site_type_symbol
_atom_site_fract_x
_atom_site_fract_y
_atom_site_fract_z
_atom_site_occupancy
Si1 Si 0.375 0.874 0.375 1
Si2 Si 0.375 0.375 0.375 1
Si3 Si 0.874 0.375 0.375 1
Si4 Si 0.375 0.375 0.874 1
Sc1 Sc 0.000 0.000 0.000 1
Zn1 Zn 0.750 0.750 0.750 1
```

calculated total energy = -4.93 eV per atom
N(E_F) = 3.2 states/eV per cell
ΔE_f (raw) = -0.0456 eV per atom


# 5
This record from Alexandria via LeMat-Bulk describes a relaxed HfMg2AsPb crystal. The functional is PBE-GGA.

CIF file:
```
data_HfMg2AsPb
_cell_length_a 5.525
_cell_length_b 5.525
_cell_length_c 5.538
_cell_angle_alpha 90.00
_cell_angle_beta 90.00
_cell_angle_gamma 90.00
_symmetry_space_group_name_H-M 'P 1'
_symmetry_Int_Tables_number 1
loop_
_symmetry_equiv_pos_as_xyz
'x,y,z'
loop_
_atom_site_label
_atom_site_type_symbol
_atom_site_fract_x
_atom_site_fract_y
_atom_site_fract_z
_atom_site_occupancy
Pb1 Pb 0.000 0.000 0.500 1
Mg1 Mg 0.000 0.500 0.000 1
Mg2 Mg 0.500 0.000 0.000 1
As1 As 0.500 0.500 0.500 1
Hf1 Hf 0.000 0.000 0.000 1
```

calculated total energy = -3.18 eV per atom
N(E_F) = 6.3 states/eV per cell
energy of formation = 1.118 eV/atom


# 6
This record from Alexandria via LeMat-Bulk describes a relaxed Al2OsW crystal. The functional is PBE-GGA.

CIF file:
```
data_Al2OsW
_cell_length_a 3.082
_cell_length_b 3.082
_cell_length_c 6.134
_cell_angle_alpha 90.00
_cell_angle_beta 90.00
_cell_angle_gamma 90.00
_symmetry_space_group_name_H-M 'P 1'
_symmetry_Int_Tables_number 1
loop_
_symmetry_equiv_pos_as_xyz
'x,y,z'
loop_
_atom_site_label
_atom_site_type_symbol
_atom_site_fract_x
_atom_site_fract_y
_atom_site_fract_z
_atom_site_occupancy
Al1 Al 0.500 0.500 0.258 1
Al2 Al 0.000 0.000 0.005 1
Os1 Os 0.000 0.000 0.480 1
W1 W 0.500 0.500 0.756 1
```

calculated total energy = -8.18 eV per atom
N(E_F) = 0.5 states/eV per cell
energy of formation = -0.264 eV/atom
ΔE to the lowest computed polymorph = 0 meV/atom


# 7
This record from Alexandria via LeMat-Bulk describes a relaxed Tc2HIrRh crystal. The functional is PBE-GGA.

CIF file:
```
data_Tc2HIrRh
_cell_length_a 3.896
_cell_length_b 3.896
_cell_length_c 3.939
_cell_angle_alpha 90.00
_cell_angle_beta 90.00
_cell_angle_gamma 90.00
_symmetry_space_group_name_H-M 'P 1'
_symmetry_Int_Tables_number 1
loop_
_symmetry_equiv_pos_as_xyz
'x,y,z'
loop_
_atom_site_label
_atom_site_type_symbol
_atom_site_fract_x
_atom_site_fract_y
_atom_site_fract_z
_atom_site_occupancy
Ir1 Ir 0.000 0.000 0.500 1
Tc1 Tc 0.500 0.000 0.000 1
Tc2 Tc 0.000 0.500 0.000 1
Rh1 Rh 0.500 0.500 0.500 1
H1 H 0.000 0.000 0.000 1
```

calculated total energy = -8.06 eV per atom
N(E_F) = 4.0 states/eV per cell
ΔE to the lowest computed polymorph = 35 meV/atom


# 8
This record from Alexandria via LeMat-Bulk describes a relaxed CdSn2Au2 crystal. The functional is PBE-GGA.

CIF file:
```
data_CdSn2Au2
_cell_length_a 4.645
_cell_length_b 4.645
_cell_length_c 6.483
_cell_angle_alpha 89.77
_cell_angle_beta 89.77
_cell_angle_gamma 60.00
_symmetry_space_group_name_H-M 'P 1'
_symmetry_Int_Tables_number 1
loop_
_symmetry_equiv_pos_as_xyz
'x,y,z'
loop_
_atom_site_label
_atom_site_type_symbol
_atom_site_fract_x
_atom_site_fract_y
_atom_site_fract_z
_atom_site_occupancy
Sn1 Sn 0.167 0.667 0.325 1
Sn2 Sn 0.833 0.333 0.675 1
Cd1 Cd 0.500 0.000 0.000 1
Au1 Au 0.167 0.667 0.791 1
Au2 Au 0.833 0.333 0.209 1
```

calculated total energy = -3.22 eV per atom
N(E_F) = 2.4 states/eV per cell
energy of formation = -0.129 eV/atom
ΔE to the lowest computed polymorph = 0 meV/atom


# 9
This record from Alexandria via LeMat-Bulk describes a relaxed BaScRe4 crystal. The functional is PBE-GGA.

CIF file:
```
data_BaScRe4
_cell_length_a 5.477
_cell_length_b 5.477
_cell_length_c 5.477
_cell_angle_alpha 60.00
_cell_angle_beta 60.00
_cell_angle_gamma 60.00
_symmetry_space_group_name_H-M 'P 1'
_symmetry_Int_Tables_number 1
loop_
_symmetry_equiv_pos_as_xyz
'x,y,z'
loop_
_atom_site_label
_atom_site_type_symbol
_atom_site_fract_x
_atom_site_fract_y
_atom_site_fract_z
_atom_site_occupancy
Ba1 Ba 0.000 0.000 0.000 1
Re1 Re 0.376 0.376 0.376 1
Re2 Re 0.376 0.873 0.376 1
Re3 Re 0.376 0.376 0.873 1
Re4 Re 0.873 0.376 0.376 1
Sc1 Sc 0.750 0.750 0.750 1
```

calculated total energy = -9.19 eV per atom
N(E_F) = 3.9 states/eV per cell
energy of formation = 0.482 eV/atom


# 10
This record from Alexandria via LeMat-Bulk describes a relaxed Zn2SiPC crystal. The functional is PBE-GGA.

CIF file:
```
data_Zn2SiPC
_cell_length_a 4.006
_cell_length_b 4.383
_cell_length_c 4.006
_cell_angle_alpha 90.00
_cell_angle_beta 90.00
_cell_angle_gamma 90.00
_symmetry_space_group_name_H-M 'P 1'
_symmetry_Int_Tables_number 1
loop_
_symmetry_equiv_pos_as_xyz
'x,y,z'
loop_
_atom_site_label
_atom_site_type_symbol
_atom_site_fract_x
_atom_site_fract_y
_atom_site_fract_z
_atom_site_occupancy
Zn1 Zn 0.500 0.000 0.000 1
Zn2 Zn 0.000 0.000 0.500 1
P1 P 0.500 0.500 0.500 1
Si1 Si 0.000 0.500 0.000 1
C1 C 0.000 0.000 0.000 1
```

calculated total energy = -3.86 eV per atom
N(E_F) = 0.9 states/eV per cell
ΔE_f (raw) = 0.6590 eV per atom